No. 1
! CaAl2Zn6, optimized geometry, DFT PBE; values from VASP
&SYSTEM
  ibrav = 0, nat = 9, ntyp = 3
/
ATOMIC_SPECIES
Ca 40.08 Ca.upf
Al 26.98 Al.upf
Zn 65.41 Zn.upf
CELL_PARAMETERS angstrom
3.747 0.000 0.000
0.000 7.105 0.000
-1.874 -3.553 6.235
ATOMIC_POSITIONS crystal
Ca 0.000 0.500 0.000
Al 0.873 0.873 0.746
Al 0.127 0.127 0.254
Zn 0.684 0.871 0.368
Zn 0.316 0.129 0.632
Zn 0.316 0.503 0.632
Zn 0.500 0.173 0.000
Zn 0.500 0.827 0.000
Zn 0.684 0.497 0.368
! Energy of formation ... -1.21 kcal/mol of atoms
! Space group ... Immm (71)
! Density of states at the Fermi level ... 3.09 states/eV/f.u.
! Total magnetization ... 0.00 μB/f.u.

No. 2
! CrNiBr2, optimized geometry, DFT PBE; values from VASP
&SYSTEM
  ibrav = 0, nat = 4, ntyp = 3
/
ATOMIC_SPECIES
Br 79.90 Br.upf
Cr 52.00 Cr.upf
Ni 58.69 Ni.upf
CELL_PARAMETERS angstrom
-5.979 2.090 -0.542
-5.864 -1.615 -1.847
-5.962 -0.895 2.015
ATOMIC_POSITIONS crystal
Br 0.006 0.006 0.006
Br 0.494 0.494 0.494
Cr 0.250 0.250 0.250
Ni 0.750 0.750 0.750
! Space group ... R-3m (166)
! Calculated total energy ... -4.49 eV/atom
! Density of states at the Fermi level ... 2.99 states/eV/f.u.
! Total magnetization ... 4.00 μB/f.u.

No. 3
! Ac2NbTlO6, optimized geometry, DFT PBE; values from VASP
&SYSTEM
  ibrav = 0, nat = 10, ntyp = 4
/
ATOMIC_SPECIES
Ac 227.00 Ac.upf
Nb 92.91 Nb.upf
Tl 204.38 Tl.upf
O 16.00 O.upf
CELL_PARAMETERS angstrom
5.851 0.000 0.000
0.000 5.766 0.000
0.000 0.000 5.766
ATOMIC_POSITIONS crystal
Ac 0.983 0.500 0.000
Ac 0.983 0.000 0.500
Nb 0.614 0.000 0.000
Tl 0.505 0.500 0.500
O 0.748 0.222 0.222
O 0.748 0.222 0.778
O 0.084 0.500 0.500
O 0.288 0.000 0.000
O 0.748 0.778 0.778
O 0.748 0.778 0.222
! Space group ... P4mm (99)
! Calculated total energy ... -7.57 eV/atom
! Total magnetization ... 0.00 μB/f.u.

No. 4
! Al3BiH, optimized geometry, DFT PBE; values from VASP
&SYSTEM
  ibrav = 0, nat = 5, ntyp = 3
/
ATOMIC_SPECIES
H 1.01 H.upf
Bi 208.98 Bi.upf
Al 26.98 Al.upf
CELL_PARAMETERS angstrom
4.475 0.000 0.000
0.000 4.475 0.000
0.000 0.000 4.475
ATOMIC_POSITIONS crystal
H 0.000 0.000 0.000
Bi 0.500 0.500 0.500
Al 0.000 0.500 0.000
Al 0.000 0.000 0.500
Al 0.500 0.000 0.000
! Space group ... Pm-3m (221)
! Calculated total energy ... -3.35 eV/atom
! Density of states at the Fermi level ... 2.08 states/eV/f.u.
! Total magnetization ... 0.00 μB/f.u.

No. 5
! CdInGaGe, optimized geometry, DFT PBE; values from VASP
&SYSTEM
  ibrav = 0, nat = 4, ntyp = 4
/
ATOMIC_SPECIES
Ge 72.64 Ge.upf
Cd 112.41 Cd.upf
Ga 69.72 Ga.upf
In 114.82 In.upf
CELL_PARAMETERS angstrom
5.031 0.000 0.000
2.515 4.357 0.000
2.515 1.452 4.108
ATOMIC_POSITIONS crystal
Ge 0.500 0.500 0.500
Cd 0.750 0.750 0.750
Ga 0.000 0.000 0.000
In 0.250 0.250 0.250
! Energy of formation ... 3.12 kcal/mol of atoms
! Space group ... F-43m (216)
! Density of states at the Fermi level ... 2.04 states/eV/f.u.
! Total magnetization ... 0.00 μB/f.u.

No. 6
! TaZn2Se, optimized geometry, DFT PBE; values from VASP
&SYSTEM
  ibrav = 0, nat = 4, ntyp = 3
/
ATOMIC_SPECIES
Se 78.96 Se.upf
Ta 180.95 Ta.upf
Zn 65.41 Zn.upf
CELL_PARAMETERS angstrom
-3.098 -3.723 2.614
-0.716 -2.965 4.581
-2.874 1.742 2.808
ATOMIC_POSITIONS crystal
Se 0.250 0.250 0.250
Ta 0.750 0.750 0.750
Zn 0.994 0.994 0.006
Zn 0.506 0.506 0.494
! Space group ... C2/m (12)
! Calculated total energy ... -4.34 eV/atom
! Density of states at the Fermi level ... 3.27 states/eV/f.u.
! Total magnetization ... 0.00 μB/f.u.

No. 7
! Ac2EuSb, optimized geometry, DFT PBE; values from VASP
&SYSTEM
  ibrav = 0, nat = 4, ntyp = 3
/
ATOMIC_SPECIES
Eu 151.96 Eu.upf
Sb 121.76 Sb.upf
Ac 227.00 Ac.upf
CELL_PARAMETERS angstrom
-4.830 -0.554 -1.205
-1.251 -0.337 5.171
-0.653 5.288 0.187
ATOMIC_POSITIONS crystal
Eu 0.500 0.000 0.000
Sb 0.500 0.500 0.500
Ac 0.000 0.000 0.500
Ac 0.000 0.500 0.000
! Space group ... P4/mmm (123)
! Calculated total energy ... -6.12 eV/atom
! Density of states at the Fermi level ... 3.79 states/eV/f.u.
! Total magnetization ... 7.89 μB/f.u.

No. 8
! KZrCo2, optimized geometry, DFT PBE; values from VASP
&SYSTEM
  ibrav = 0, nat = 4, ntyp = 3
/
ATOMIC_SPECIES
Co 58.93 Co.upf
K 39.10 K.upf
Zr 91.22 Zr.upf
CELL_PARAMETERS angstrom
5.544 0.047 0.000
2.752 4.813 0.000
-4.148 -2.430 2.762
ATOMIC_POSITIONS crystal
Co 0.000 0.000 0.000
Co 0.250 0.750 0.500
K 0.500 0.500 0.000
Zr 0.750 0.250 0.500
! Energy of formation ... 25.44 kcal/mol of atoms
! Space group ... I-4m2 (119)
! Density of states at the Fermi level ... 7.35 states/eV/f.u.
! Total magnetization ... 1.57 μB/f.u.

No. 9
! NbTl2Re, optimized geometry, DFT PBE; values from VASP
&SYSTEM
  ibrav = 0, nat = 8, ntyp = 3
/
ATOMIC_SPECIES
Re 186.21 Re.upf
Tl 204.38 Tl.upf
Nb 92.91 Nb.upf
CELL_PARAMETERS angstrom
7.776 0.000 0.000
0.000 7.776 0.000
3.888 3.888 2.883
ATOMIC_POSITIONS crystal
Re 0.000 0.000 0.000
Re 0.750 0.250 0.500
Tl 0.637 0.125 0.250
Tl 0.113 0.625 0.250
Tl 0.375 0.363 0.750
Tl 0.875 0.887 0.750
Nb 0.500 0.500 0.000
Nb 0.250 0.750 0.500
! Energy of formation ... 28.11 kcal/mol of atoms
! Space group ... I-42d (122)
! Density of states at the Fermi level ... 3.63 states/eV/f.u.
! Total magnetization ... 1.63 μB/f.u.

No. 10
! CaTm3S4, optimized geometry, DFT PBE; values from VASP
&SYSTEM
  ibrav = 0, nat = 8, ntyp = 3
/
ATOMIC_SPECIES
Ca 40.08 Ca.upf
Tm 168.93 Tm.upf
S 32.06 S.upf
CELL_PARAMETERS angstrom
-0.731 -3.618 -1.145
5.645 -2.087 2.990
-5.082 -0.360 4.383
ATOMIC_POSITIONS crystal
Ca 0.500 0.000 0.000
Tm 0.000 0.000 0.500
Tm 0.500 0.500 0.500
Tm 0.000 0.500 0.000
S 0.000 0.255 0.255
S 0.500 0.748 0.252
S 0.000 0.745 0.745
S 0.500 0.252 0.748
! Space group ... Cmmm (65)
! Calculated total energy ... -5.96 eV/atom
! Density of states at the Fermi level ... 2.29 states/eV/f.u.
! Total magnetization ... 0.00 μB/f.u.

No. 11
! LaTmTe3, optimized geometry, DFT PBE; values from VASP
&SYSTEM
  ibrav = 0, nat = 20, ntyp = 3
/
ATOMIC_SPECIES
La 138.91 La.upf
Tm 168.93 Tm.upf
Te 127.60 Te.upf
CELL_PARAMETERS angstrom
4.471 0.000 0.000
0.000 8.316 0.000
0.000 0.000 17.337
ATOMIC_POSITIONS crystal
La 0.750 0.863 0.801
La 0.250 0.137 0.199
La 0.750 0.363 0.699
La 0.250 0.637 0.301
Tm 0.250 0.272 0.958
Tm 0.250 0.772 0.542
Tm 0.750 0.228 0.458
Tm 0.750 0.728 0.042
Te 0.250 0.378 0.560
Te 0.750 0.845 0.214
Te 0.750 0.492 0.896
Te 0.750 0.992 0.604
Te 0.750 0.622 0.440
Te 0.250 0.008 0.396
Te 0.250 0.878 0.940
Te 0.750 0.345 0.286
Te 0.250 0.655 0.714
Te 0.250 0.155 0.786
Te 0.750 0.122 0.060
Te 0.250 0.508 0.104
! Space group ... Pnma (62)
! Calculated total energy ... -5.23 eV/atom
! Density of states at the Fermi level ... 0.21 states/eV/f.u.
! Total magnetization ... 0.00 μB/f.u.

No. 12
! Tb6Tm2Ag, optimized geometry, DFT PBE; values from VASP
&SYSTEM
  ibrav = 0, nat = 9, ntyp = 3
/
ATOMIC_SPECIES
Tb 158.93 Tb.upf
Tm 168.93 Tm.upf
Ag 107.87 Ag.upf
CELL_PARAMETERS angstrom
-0.672 3.438 -0.506
-9.679 -1.487 2.717
6.986 0.440 6.121
ATOMIC_POSITIONS crystal
Tb 0.182 0.340 0.364
Tb 0.818 0.976 0.636
Tb 0.818 0.660 0.636
Tb 0.500 0.270 0.000
Tb 0.182 0.024 0.364
Tb 0.500 0.730 0.000
Tm 0.140 0.640 0.279
Tm 0.860 0.360 0.721
Ag 0.000 0.000 0.000
! Energy of formation ... 1.33 kcal/mol of atoms
! Space group ... Immm (71)
! Density of states at the Fermi level ... 9.09 states/eV/f.u.
! Total magnetization ... 0.00 μB/f.u.

No. 13
! Cs2AcSn2Te4, optimized geometry, DFT PBE; values from VASP
&SYSTEM
  ibrav = 0, nat = 9, ntyp = 4
/
ATOMIC_SPECIES
Cs 132.91 Cs.upf
Ac 227.00 Ac.upf
Sn 118.71 Sn.upf
Te 127.60 Te.upf
CELL_PARAMETERS angstrom
-4.657 -0.251 1.610
4.674 -7.221 4.833
0.896 8.611 3.933
ATOMIC_POSITIONS crystal
Cs 0.873 0.747 0.431
Cs 0.127 0.253 0.569
Ac 0.000 0.000 0.000
Sn 0.306 0.611 0.948
Sn 0.694 0.389 0.052
Te 0.814 0.628 0.769
Te 0.186 0.372 0.231
Te 0.464 0.928 0.206
Te 0.536 0.072 0.794
! Space group ... C2/m (12)
! Calculated total energy ... -3.81 eV/atom
! Density of states at the Fermi level ... 1.40 states/eV/f.u.
! Total magnetization ... 0.00 μB/f.u.

No. 14
! LiMoCl, optimized geometry, DFT PBE; values from VASP
&SYSTEM
  ibrav = 0, nat = 3, ntyp = 3
/
ATOMIC_SPECIES
Cl 35.45 Cl.upf
Li 6.94 Li.upf
Mo 95.94 Mo.upf
CELL_PARAMETERS angstrom
-2.652 -1.080 0.843
2.181 0.337 2.009
-1.965 5.739 1.170
ATOMIC_POSITIONS crystal
Cl 0.000 0.000 0.998
Li 0.667 0.333 0.312
Mo 0.333 0.667 0.690
! Space group ... P3m1 (156)
! Calculated total energy ... -4.83 eV/atom
! Density of states at the Fermi level ... 2.59 states/eV/f.u.
! Total magnetization ... 0.40 μB/f.u.

No. 15
! CaLaSi2, optimized geometry, DFT PBE; values from VASP
&SYSTEM
  ibrav = 0, nat = 4, ntyp = 3
/
ATOMIC_SPECIES
Ca 40.08 Ca.upf
La 138.91 La.upf
Si 28.09 Si.upf
CELL_PARAMETERS angstrom
4.346 0.000 0.000
0.000 4.346 0.000
0.000 0.000 6.102
ATOMIC_POSITIONS crystal
Ca 0.000 0.000 0.374
La 0.500 0.500 0.876
Si 0.000 0.000 0.874
Si 0.500 0.500 0.376
! Space group ... P4mm (99)
! Calculated total energy ... -4.54 eV/atom
! Density of states at the Fermi level ... 5.51 states/eV/f.u.
! Total magnetization ... 0.33 μB/f.u.

No. 16
! CdIn2Te, optimized geometry, DFT PBE; values from VASP
&SYSTEM
  ibrav = 0, nat = 4, ntyp = 3
/
ATOMIC_SPECIES
Cd 112.41 Cd.upf
Te 127.60 Te.upf
In 114.82 In.upf
CELL_PARAMETERS angstrom
-0.250 1.951 -5.610
-3.973 -3.242 -3.007
-0.372 2.870 5.193
ATOMIC_POSITIONS crystal
Cd 0.750 0.250 0.500
Te 0.250 0.750 0.500
In 0.000 0.000 0.000
In 0.500 0.500 0.000
! Space group ... I4/mmm (139)
! Calculated total energy ... -2.39 eV/atom
! Density of states at the Fermi level ... 2.22 states/eV/f.u.
! Total magnetization ... 0.00 μB/f.u.